(1)
Compound: RuRhCS2
Source: the Alexandria database
Functional: PBE
Structure: optimized geometry

Properties
VASP energy, eV/atom: -5.616
M_tot, μB per atom: 0.000
Formation energy (no corrections), eV per atom: 1.21

Geometry as POSCAR:
```
RuRhCS2
1.0
4.109 0.000 0.000
0.000 4.109 0.000
0.000 0.000 3.938
Ru Rh C S
1 1 1 2
direct
0.000 0.000 0.000
0.500 0.500 0.000
0.500 0.500 0.500
0.000 0.500 0.500
0.500 0.000 0.500
```



(2)
Compound: TcPNCl2
Source: the Alexandria database
Functional: PBE
Structure: optimized geometry

Properties
VASP energy, eV/atom: -4.453
Offset from the most stable computed form, meV per atom: 0
M_tot, μB per atom: 0.567
Formation energy (no corrections), eV per atom: 1.11

Geometry as POSCAR:
```
TcPNCl2
1.0
4.919 0.000 0.000
0.000 4.919 0.000
0.000 0.000 4.528
Tc P N Cl
1 1 1 2
direct
0.000 0.000 0.000
0.000 0.000 0.500
0.500 0.500 0.500
0.000 0.500 0.000
0.500 0.000 0.000
```



(3)
Compound: Cs4Er3ZrTe8
Source: the Alexandria database
Functional: PBE
Structure: optimized geometry

Properties
VASP energy, eV/atom: -4.421
M_tot, μB per atom: 0.056
Formation energy (no corrections), eV per atom: -1.25

Geometry as POSCAR:
```
Cs4Er3ZrTe8
1.0
4.465 2.578 8.916
-4.465 2.578 8.916
0.000 -5.156 8.916
Cs Er Zr Te
4 3 1 8
direct
0.000 0.000 0.000
0.000 0.500 0.500
0.500 0.000 0.500
0.500 0.500 0.000
0.000 0.000 0.500
0.000 0.500 0.000
0.500 0.000 0.000
0.500 0.500 0.500
0.230 0.230 0.230
0.238 0.725 0.725
0.275 0.275 0.762
0.275 0.762 0.275
0.725 0.238 0.725
0.725 0.725 0.238
0.762 0.275 0.275
0.770 0.770 0.770
```



(4)
Compound: CaMo2Rh
Source: the Alexandria database
Functional: PBE
Structure: optimized geometry

Properties
VASP energy, eV/atom: -7.407
E_form, meV/atom: 347
Offset from the most stable computed form, meV per atom: 147
M_tot, μB per atom: 0.000

Geometry as POSCAR:
```
CaMo2Rh
1.0
9.532 0.000 0.000
0.000 3.061 0.000
-1.614 0.000 5.270
Ca Mo Rh
2 4 2
direct
0.000 0.000 0.000
0.500 0.500 0.000
0.004 0.500 0.507
0.292 0.500 0.350
0.504 0.000 0.507
0.792 0.000 0.350
0.234 0.000 0.712
0.734 0.500 0.712
```



(5)
Compound: NaCa2PrTe4
Source: the Alexandria database
Functional: PBE
Structure: optimized geometry

Properties
VASP energy, eV/atom: -4.300
M_tot, μB per atom: 0.000
Formation energy (no corrections), eV per atom: -1.47

Geometry as POSCAR:
```
NaCa2PrTe4
1.0
7.839 0.000 0.000
0.000 4.560 0.000
-2.535 0.000 7.435
Na Ca Pr Te
1 2 1 4
direct
0.000 0.000 0.000
0.500 0.000 0.500
0.500 0.500 0.000
0.000 0.500 0.500
0.250 0.000 0.749
0.255 0.500 0.256
0.745 0.500 0.744
0.750 0.000 0.251
```



(6)
Compound: Ce4In2Ru
Source: the Alexandria database
Functional: PBE
Structure: optimized geometry

Properties
VASP energy, eV/atom: -5.644
E_form, meV/atom: -145
M_tot, μB per atom: 0.263

Geometry as POSCAR:
```
Ce4In2Ru
1.0
6.867 0.000 0.000
0.000 3.255 0.000
-2.458 0.000 8.351
Ce In Ru
4 2 1
direct
0.092 0.000 0.243
0.388 0.500 0.615
0.612 0.500 0.385
0.908 0.000 0.757
0.292 0.500 0.995
0.708 0.500 0.005
0.000 0.000 0.500
```



(7)
Compound: Be2TlRu
Source: the Alexandria database
Functional: PBE
Structure: optimized geometry

Properties
VASP energy, eV/atom: -4.529
E_form, meV/atom: 244
Offset from the most stable computed form, meV per atom: 150
M_tot, μB per atom: 0.000

Geometry as POSCAR:
```
Be2TlRu
1.0
2.989 0.000 0.000
0.000 3.343 0.000
-0.005 0.000 5.945
Be Tl Ru
2 1 1
direct
0.000 0.000 0.000
0.005 0.500 0.218
0.005 0.000 0.558
0.500 0.500 0.914
```



(8)
Compound: Fe3Co
Source: the Alexandria database
Functional: PBE
Structure: optimized geometry

Properties
VASP energy, eV/atom: -8.147
E_form, meV/atom: -24
M_tot, μB per atom: 2.318

Geometry as POSCAR:
```
Fe3Co
1.0
2.847 0.000 0.000
0.000 4.019 0.000
0.000 0.000 16.128
Fe Co
12 4
direct
0.000 0.250 0.063
0.000 0.250 0.313
0.000 0.250 0.563
0.000 0.750 0.437
0.000 0.750 0.687
0.000 0.750 0.937
0.500 0.250 0.187
0.500 0.250 0.437
0.500 0.250 0.937
0.500 0.750 0.063
0.500 0.750 0.563
0.500 0.750 0.813
0.000 0.250 0.812
0.000 0.750 0.188
0.500 0.250 0.688
0.500 0.750 0.312
```



- Look up the VASP energy of the fifth one.
  -4.300 eV/atom